Version P
DFT (PBE) results for HgPPtO after structural relaxation.

Output
Its space group is P4/nmm, No. 129. The calculation puts the total moment at 0.0 μB/cell. As for the mass density: 10.1 g/cm3.

Structure (POSCAR):
```
HgPPtO
1.0
4.2955 0.0000 0.0000
0.0000 4.2955 0.0000
0.0000 0.0000 7.9168
Hg P Pt O
2 2 2 2
direct
0.2500 0.2500 0.0939
0.7500 0.7500 0.9061
0.2500 0.2500 0.6377
0.7500 0.7500 0.3623
0.2500 0.7500 0.5000
0.7500 0.2500 0.5000
0.2500 0.7500 0.0000
0.7500 0.2500 0.0000
```

---

Version Q
DFT (PBE) results for HgPPtO after structural relaxation.

Output
Its space group is Pmc2_1, No. 26. The calculation puts the total moment at 0.0 μB/cell. As for the mass density: 9.7 g/cm3.

Structure (POSCAR):
```
HgPPtO
1.0
3.9840 0.0000 0.0000
0.0000 6.3581 0.0000
0.0000 0.0000 5.9587
Hg P Pt O
2 2 2 2
direct
0.0000 0.1578 0.0000
0.0000 0.8422 0.5000
0.5000 0.3593 0.8349
0.5000 0.6407 0.3349
0.5000 0.2986 0.4571
0.5000 0.7014 0.9571
0.0000 0.2138 0.4191
0.0000 0.7862 0.9191
```

---

Least stable: version Q

---

Version P
DFT (PBE) results for ReHgPO after structural relaxation.

Output
Its space group is Pmc2_1, No. 26. The calculation puts the total moment at 0.0 μB/cell. As for the mass density: 9.6 g/cm3.

Structure (POSCAR):
```
ReHgPO
1.0
3.0602 0.0000 0.0000
0.0000 6.6870 0.0000
0.0000 0.0000 7.3302
Re Hg P O
2 2 2 2
direct
0.0000 0.0477 0.0000
0.0000 0.9523 0.5000
0.5000 0.3347 0.5598
0.5000 0.6653 0.0598
0.5000 0.2994 0.9381
0.5000 0.7006 0.4381
0.0000 0.0446 0.2577
0.0000 0.9554 0.7577
```

---

Version Q
DFT (PBE) results for ReHgPO after structural relaxation.

Output
Its space group is Pmc2_1, No. 26. The calculation puts the total moment at 0.0 μB/cell. As for the mass density: 9.2 g/cm3.

Structure (POSCAR):
```
ReHgPO
1.0
3.7652 0.0000 0.0000
0.0000 6.6387 0.0000
0.0000 0.0000 6.2498
Re Hg P O
2 2 2 2
direct
0.0000 0.2070 0.0000
0.0000 0.7930 0.5000
0.5000 0.3456 0.5283
0.5000 0.6544 0.0283
0.0000 0.0999 0.3445
0.0000 0.9001 0.8445
0.5000 0.2288 0.9873
0.5000 0.7712 0.4873
```

---

Least stable: version Q

---

Version P
DFT (PBE) results for ReHgPO after structural relaxation.

Output
Its space group is P4/nmm, No. 129. The calculation puts the total moment at 0.0 μB/cell. As for the mass density: 10.5 g/cm3.

Structure (POSCAR):
```
ReHgPO
1.0
3.9426 0.0000 0.0000
0.0000 3.9426 0.0000
0.0000 0.0000 8.8358
Re Hg P O
2 2 2 2
direct
0.2500 0.2500 0.0863
0.7500 0.7500 0.9137
0.2500 0.7500 0.5000
0.7500 0.2500 0.5000
0.2500 0.2500 0.8069
0.7500 0.7500 0.1931
0.2500 0.7500 0.0000
0.7500 0.2500 0.0000
```

---

Version Q
DFT (PBE) results for ReHgPO after structural relaxation.

Output
Its space group is P4/nmm, No. 129. The calculation puts the total moment at 0.7 μB/cell. As for the mass density: 11.1 g/cm3.

Structure (POSCAR):
```
ReHgPO
1.0
4.1932 0.0000 0.0000
0.0000 4.1932 0.0000
0.0000 0.0000 7.3954
Re Hg P O
2 2 2 2
direct
0.2500 0.7500 0.0000
0.7500 0.2500 0.0000
0.2500 0.2500 0.3704
0.7500 0.7500 0.6296
0.2500 0.2500 0.8570
0.7500 0.7500 0.1430
0.2500 0.7500 0.5000
0.7500 0.2500 0.5000
```

---

Least stable: version P

---

Version P
DFT (PBE) results for SiHgPO after structural relaxation.

Output
Its space group is P4/nmm, No. 129. As for the mass density: 6.7 g/cm3.

Structure (POSCAR):
```
SiHgPO
1.0
3.8352 0.0000 0.0000
0.0000 3.8352 0.0000
0.0000 0.0000 9.2940
Si Hg P O
2 2 2 2
direct
0.2500 0.2500 0.0928
0.7500 0.7500 0.9072
0.2500 0.7500 0.5000
0.7500 0.2500 0.5000
0.2500 0.2500 0.7038
0.7500 0.7500 0.2962
0.2500 0.7500 0.0000
0.7500 0.2500 0.0000
```

---

Version Q
DFT (PBE) results for SiHgPO after structural relaxation.

Output
Its space group is Pmc2_1, No. 26. As for the mass density: 6.3 g/cm3.

Structure (POSCAR):
```
SiHgPO
1.0
3.5332 0.0000 0.0000
0.0000 7.6584 0.0000
0.0000 0.0000 5.3806
Si Hg P O
2 2 2 2
direct
0.0000 0.1226 0.0000
0.0000 0.8774 0.5000
0.5000 0.3211 0.4976
0.5000 0.6789 0.9976
0.5000 0.3015 0.9965
0.5000 0.6985 0.4965
0.0000 0.0034 0.2533
0.0000 0.9966 0.7533
```

---

Least stable: version P

---

Version P
DFT (PBE) results for SnHgPO after structural relaxation.

Output
Its space group is P4/nmm, No. 129. As for the mass density: 7.7 g/cm3.

Structure (POSCAR):
```
SnHgPO
1.0
4.0292 0.0000 0.0000
0.0000 4.0292 0.0000
0.0000 0.0000 9.7122
Sn Hg P O
2 2 2 2
direct
0.2500 0.2500 0.1150
0.7500 0.7500 0.8850
0.2500 0.7500 0.5000
0.7500 0.2500 0.5000
0.2500 0.2500 0.6851
0.7500 0.7500 0.3149
0.2500 0.7500 0.0000
0.7500 0.2500 0.0000
```

---

Version Q
DFT (PBE) results for SnHgPO after structural relaxation.

Output
Its space group is Pmc2_1, No. 26. As for the mass density: 7.1 g/cm3.

Structure (POSCAR):
```
SnHgPO
1.0
4.2146 0.0000 0.0000
0.0000 6.4149 0.0000
0.0000 0.0000 6.3216
Sn Hg P O
2 2 2 2
direct
0.0000 0.2266 0.0000
0.0000 0.7734 0.5000
0.5000 0.3047 0.5507
0.5000 0.6953 0.0507
0.0000 0.1702 0.4085
0.0000 0.8298 0.9085
0.5000 0.3129 0.9419
0.5000 0.6871 0.4419
```

---

Version R
DFT (PBE) results for SnHgPO after structural relaxation.

Output
Its space group is P4/nmm, No. 129. As for the mass density: 6.3 g/cm3.

Structure (POSCAR):
```
SnHgPO
1.0
4.6759 0.0000 0.0000
0.0000 4.6759 0.0000
0.0000 0.0000 8.8394
Sn Hg P O
2 2 2 2
direct
0.2500 0.7500 0.0000
0.7500 0.2500 0.0000
0.2500 0.2500 0.4631
0.7500 0.7500 0.5369
0.2500 0.2500 0.1455
0.7500 0.7500 0.8545
0.2500 0.7500 0.5000
0.7500 0.2500 0.5000
```

---

Least stable: version R

---

Version P
DFT (PBE) results for TaHgPO after structural relaxation.

Output
Its space group is Pmc2_1, No. 26. The calculation puts the total moment at 0.0 μB/cell. As for the mass density: 9.0 g/cm3.

Structure (POSCAR):
```
TaHgPO
1.0
3.7437 0.0000 0.0000
0.0000 8.5005 0.0000
0.0000 0.0000 4.9838
Ta Hg P O
2 2 2 2
direct
0.0000 0.1160 0.0000
0.0000 0.8840 0.5000
0.5000 0.4143 0.5074
0.5000 0.5857 0.0074
0.0000 0.1694 0.4996
0.0000 0.8306 0.9996
0.5000 0.1757 0.0000
0.5000 0.8243 0.5000
```

---

Version Q
DFT (PBE) results for TaHgPO after structural relaxation.

Output
Its space group is P4/nmm, No. 129. The calculation puts the total moment at 0.3 μB/cell. As for the mass density: 10.3 g/cm3.

Structure (POSCAR):
```
TaHgPO
1.0
3.5565 0.0000 0.0000
0.0000 3.5565 0.0000
0.0000 0.0000 10.8850
Ta Hg P O
2 2 2 2
direct
0.2500 0.2500 0.1184
0.7500 0.7500 0.8816
0.2500 0.7500 0.5000
0.7500 0.2500 0.5000
0.2500 0.2500 0.7750
0.7500 0.7500 0.2250
0.2500 0.7500 0.0000
0.7500 0.2500 0.0000
```

---

Least stable: version Q

---

Version P
DFT (PBE) results for TaHgPO after structural relaxation.

Output
Its space group is P4/nmm, No. 129. The calculation puts the total moment at 0.0 μB/cell. As for the mass density: 11.9 g/cm3.

Structure (POSCAR):
```
TaHgPO
1.0
4.9057 0.0000 0.0000
0.0000 4.9057 0.0000
0.0000 0.0000 4.9676
Ta Hg P O
2 2 2 2
direct
0.2500 0.7500 0.0000
0.7500 0.2500 0.0000
0.2500 0.2500 0.3566
0.7500 0.7500 0.6434
0.2500 0.2500 0.8436
0.7500 0.7500 0.1564
0.2500 0.7500 0.5000
0.7500 0.2500 0.5000
```

---

Version Q
DFT (PBE) results for TaHgPO after structural relaxation.

Output
Its space group is Pmc2_1, No. 26. The calculation puts the total moment at 0.0 μB/cell. As for the mass density: 8.3 g/cm3.

Structure (POSCAR):
```
TaHgPO
1.0
3.5083 0.0000 0.0000
0.0000 6.7826 0.0000
0.0000 0.0000 7.2040
Ta Hg P O
2 2 2 2
direct
0.0000 0.0970 0.0000
0.0000 0.9030 0.5000
0.5000 0.2864 0.5386
0.5000 0.7136 0.0386
0.5000 0.3333 0.9634
0.5000 0.6667 0.4634
0.0000 0.0271 0.2596
0.0000 0.9729 0.7596
```

---

Least stable: version P

---

Version P
DFT (PBE) results for TcHgPO after structural relaxation.

Output
Its space group is Pmc2_1, No. 26. The calculation puts the total moment at 0.0 μB/cell. As for the mass density: 7.7 g/cm3.

Structure (POSCAR):
```
TcHgPO
1.0
3.0948 0.0000 0.0000
0.0000 6.6368 0.0000
0.0000 0.0000 7.2846
Tc Hg P O
2 2 2 2
direct
0.0000 0.0489 0.0000
0.0000 0.9511 0.5000
0.5000 0.3377 0.5657
0.5000 0.6623 0.0657
0.5000 0.2969 0.9335
0.5000 0.7031 0.4335
0.0000 0.0474 0.2593
0.0000 0.9526 0.7593
```

---

Version Q
DFT (PBE) results for TcHgPO after structural relaxation.

Output
Its space group is Pmc2_1, No. 26. The calculation puts the total moment at 0.0 μB/cell. As for the mass density: 7.5 g/cm3.

Structure (POSCAR):
```
TcHgPO
1.0
3.7702 0.0000 0.0000
0.0000 6.4814 0.0000
0.0000 0.0000 6.2222
Tc Hg P O
2 2 2 2
direct
0.0000 0.2172 0.0000
0.0000 0.7828 0.5000
0.5000 0.3271 0.5325
0.5000 0.6729 0.0325
0.0000 0.0949 0.3412
0.0000 0.9051 0.8412
0.5000 0.2473 0.9878
0.5000 0.7527 0.4878
```

---

Least stable: version Q